# 1
First-principles (PBE) data for an optimized crystal structure of Tb3Ag2Pd3, as listed in Alexandria via LeMat-Bulk.

extended XYZ file:
```
16
Lattice="8.484 0.000 0.000 -4.242 7.348 0.000 0.000 0.000 5.653" Properties=species:S:1:pos:R:3 pbc="T T T"
Tb -1.202 2.082 1.413
Tb -3.040 5.266 4.240
Tb 2.404 0.000 1.413
Tb 1.202 2.082 4.240
Tb 6.081 0.000 4.240
Tb 3.040 5.266 1.413
Ag 0.000 4.898 0.000
Ag 0.000 4.898 2.827
Ag 4.242 2.449 0.000
Ag 4.242 2.449 2.827
Pd -1.606 2.782 4.240
Pd -2.636 4.566 1.413
Pd 3.212 0.000 4.240
Pd 1.606 2.782 1.413
Pd 5.272 0.000 1.413
Pd 2.636 4.566 4.240
```

=====

# 2
First-principles (PBE) data for an optimized crystal structure of TbAg2Pd, as listed in Alexandria via LeMat-Bulk.

extended XYZ file:
```
4
Lattice="4.058 0.000 0.000 0.000 4.058 0.000 0.000 0.000 4.852" Properties=species:S:1:pos:R:3 pbc="T T T"
Tb 0.000 0.000 0.000
Ag 0.000 2.029 2.426
Ag 2.029 0.000 2.426
Pd 2.029 2.029 0.000
```

Calculated values
- energy relative to the lowest polymorph listed for this composition (meV/atom) = 121.0

=====

Number 1: energy of formation -605.7 meV per atom. Number 2: energy of formation -354.3 meV per atom.